[1]
# Li2HAu2

Li2HAu2 after structural relaxation (GGA-PBE, Alexandria via LeMat-Bulk).

Calculated values
**Offset from the most stable computed form**: 0.688 eV per atom

Unit cell a=7.1030 b=7.1030 c=7.1030 alpha=152.81 beta=152.81 gamma=38.83
Element x y z (fractional)
Li 0.2500 0.7500 0.5000
Li 0.7500 0.2500 0.5000
H 0.0000 0.0000 0.0000
Au 0.3966 0.3966 0.0000
Au 0.6034 0.6034 0.0000

[2]
# Li3HAu

Li3HAu after structural relaxation (GGA-PBE, Alexandria via LeMat-Bulk).

Calculated values
**Offset from the most stable computed form**: 0.064 eV per atom

Unit cell a=5.9236 b=5.9236 c=5.9236 alpha=54.85 beta=54.85 gamma=54.85
Element x y z (fractional)
Li 0.0844 0.0844 0.5773
Li 0.0844 0.5773 0.0844
Li 0.4227 0.9156 0.9156
Li 0.5773 0.0844 0.0844
Li 0.9156 0.4227 0.9156
Li 0.9156 0.9156 0.4227
H 0.1660 0.1660 0.1660
H 0.8340 0.8340 0.8340
Au 0.3956 0.3956 0.3956
Au 0.6044 0.6044 0.6044